Computed, not measured: KCd2Se after structural relaxation at the GGA-PBE level of DFT.

The structure in extended XYZ format:
```
4
Lattice="3.858 0.000 0.000 0.000 3.858 0.000 0.000 0.000 7.577" Properties=species:S:1:pos:R:3 pbc="T T T"
K 0.000 0.000 0.000
Cd 0.000 0.000 3.416
Cd 1.929 1.929 5.035
Se 1.929 1.929 2.100
```

Output
ΔE_f (raw): -0.3387 eV per atom
V: 28.20 Å³ per atom